Compound: Sc2MnNb2
Source: Alexandria via LeMat-Bulk
Functional: PBE
Structure: optimized geometry

Values from the calculation:
E, eV/atom: -8.25
Energy relative to the elements, meV per atom: 149
DOS(E_F), states/eV/atom: 1.147

Lattice parameters (Å, degrees): 6.274 6.274 4.944 90.00 90.00 90.00
Positions (direct):
Sc: 0.169 0.331 0.000
Sc: 0.331 0.831 0.000
Sc: 0.669 0.169 0.000
Sc: 0.831 0.669 0.000
Mn: 0.000 0.000 0.500
Mn: 0.500 0.500 0.500
Nb: 0.152 0.652 0.500
Nb: 0.348 0.152 0.500
Nb: 0.652 0.848 0.500
Nb: 0.848 0.348 0.500